1.
GGA-PBE Nd3Te, optimized geometry; DOS at the Fermi energy = 1.162 states/eV per atom; space-group type = No. 82; DFT total energy = -80.8 eV for the cell shown; offset from the most stable computed form = 17 meV per atom; formation energy (no corrections) = -265 kJ/mol of formula units; magnetic moment = 0.000 μB/atom
1.0
-6.457 6.457 3.102
6.457 -6.457 3.102
6.457 6.457 -3.102
Nd Te
12 4
direct
0.069 0.383 0.471
0.087 0.197 0.835
0.227 0.690 0.908
0.310 0.219 0.537
0.362 0.252 0.165
0.401 0.931 0.313
0.617 0.088 0.687
0.682 0.773 0.463
0.748 0.913 0.110
0.781 0.318 0.092
0.803 0.638 0.890
0.912 0.599 0.529
0.241 0.484 0.163
0.321 0.077 0.837
0.516 0.679 0.757
0.923 0.759 0.243


2.
GGA-PBE NdTe3, optimized geometry; DOS at the Fermi energy = 0.420 states/eV per atom; space-group type = No. 25; DFT total energy = -16.8 eV for the cell shown; formation energy (no corrections) = -255 kJ/mol of formula units; magnetic moment = 0.000 μB/atom
1.0
4.567 0.000 0.000
0.000 6.429 0.000
0.000 0.000 4.564
Nd Te
1 3
direct
0.000 0.000 0.000
0.000 0.500 0.006
0.500 0.000 0.501
0.500 0.500 0.505